Arrangement P

# PmTm9Th2 PBE relaxed
data_PmTm9Th2
_cell_length_a 11.2299
_cell_length_b 11.2299
_cell_length_c 3.4782
_cell_angle_alpha 90.00
_cell_angle_beta 90.00
_cell_angle_gamma 120.00
_space_group_name_H-M_alt 'P 6/m m m'
_space_group_IT_number 191
_space_group_name_Hall '-P 6 2'
loop_
_atom_site_label
_atom_site_type_symbol
_atom_site_fract_x
_atom_site_fract_y
_atom_site_fract_z
Pm1 Pm 0.0000 0.0000 0.0000
Tm1 Tm 0.0000 0.5000 0.0000
Tm2 Tm 0.1757 0.3513 0.5000
Th1 Th 0.3333 0.6667 0.0000
# Spin magnetization in μB/f.u.: 0.00



Arrangement Q

# PmTm9Th2 PBE relaxed
data_PmTm9Th2
_cell_length_a 4.970
_cell_length_b 4.970
_cell_length_c 14.955
_cell_angle_alpha 90.00
_cell_angle_beta 90.00
_cell_angle_gamma 90.00
_space_group_name_H-M_alt 'P 4/m m m'
_space_group_IT_number 123
_space_group_name_Hall '-P 4 2'
loop_
_atom_site_label
_atom_site_type_symbol
_atom_site_fract_x
_atom_site_fract_y
_atom_site_fract_z
Pm1 Pm 0.000 0.000 0.000
Tm1 Tm 0.000 0.500 0.169
Tm2 Tm 0.000 0.500 0.500
Tm3 Tm 0.500 0.500 0.000
Tm4 Tm 0.500 0.500 0.334
Th1 Th 0.000 0.000 0.334
# Spin magnetization in μB/f.u.: 0.01



List of relative energies, unit meV per atom: arrangement P 72; arrangement Q 0



Arrangement P

# PmY2Th PBE relaxed
data_PmY2Th
_cell_length_a 11.695
_cell_length_b 3.601
_cell_length_c 6.234
_cell_angle_alpha 90.00
_cell_angle_beta 90.00
_cell_angle_gamma 90.00
_space_group_name_H-M_alt 'A m m 2'
_space_group_IT_number 38
loop_
_space_group_symop_operation_xyz
'x,y,z'
'-x,-y,z'
'-x,y,z'
'x,-y,z'
'x,y+1/2,z+1/2'
'-x,-y+1/2,z+1/2'
'-x,y+1/2,z+1/2'
'x,-y+1/2,z+1/2'
loop_
_atom_site_label
_atom_site_type_symbol
_atom_site_fract_x
_atom_site_fract_y
_atom_site_fract_z
Pm1 Pm 0.000 0.000 0.000
Y1 Y 0.252 0.000 0.334
Th1 Th 0.500 0.000 0.669
# Spin magnetization in μB/f.u.: 0.00



Arrangement Q

# PmY2Th PBE relaxed
data_PmY2Th
_cell_length_a 3.6125
_cell_length_b 3.6125
_cell_length_c 34.7776
_cell_angle_alpha 90.00
_cell_angle_beta 90.00
_cell_angle_gamma 120.00
_space_group_name_H-M_alt 'R 3 m'
_space_group_IT_number 160
_space_group_name_Hall 'R 3 -2"'
loop_
_atom_site_label
_atom_site_type_symbol
_atom_site_fract_x
_atom_site_fract_y
_atom_site_fract_z
Pm1 Pm 0.0000 0.0000 0.0000
Y1 Y 0.0000 0.0000 0.2482
Y2 Y 0.0000 0.0000 0.4195
Th1 Th 0.0000 0.0000 0.8340
# Spin magnetization in μB/f.u.: 0.00



List of relative energies, unit meV per atom: arrangement P 35; arrangement Q 0



Arrangement P

# Pm6Y8Th PBE relaxed
data_Pm6Y8Th
_cell_length_a 9.8742
_cell_length_b 9.8742
_cell_length_c 17.7508
_cell_angle_alpha 90.00
_cell_angle_beta 90.00
_cell_angle_gamma 120.00
_space_group_name_H-M_alt 'R -3'
_space_group_IT_number 148
_space_group_name_Hall '-R 3'
loop_
_atom_site_label
_atom_site_type_symbol
_atom_site_fract_x
_atom_site_fract_y
_atom_site_fract_z
Pm1 Pm 0.0427 0.7530 0.1752
Y1 Y 0.0000 0.0000 0.0866
Y2 Y 0.0610 0.8187 0.6686
Th1 Th 0.0000 0.0000 0.5000
# Spin magnetization in μB/f.u.: 0.00



Arrangement Q

# Pm6Y8Th PBE relaxed
data_Pm6Y8Th
_cell_length_a 9.1334
_cell_length_b 9.1334
_cell_length_c 20.9911
_cell_angle_alpha 90.00
_cell_angle_beta 90.00
_cell_angle_gamma 120.00
_space_group_name_H-M_alt 'R -3'
_space_group_IT_number 148
_space_group_name_Hall '-R 3'
loop_
_atom_site_label
_atom_site_type_symbol
_atom_site_fract_x
_atom_site_fract_y
_atom_site_fract_z
Pm1 Pm 0.0586 0.8109 0.2102
Y1 Y 0.0000 0.0000 0.0776
Y2 Y 0.0818 0.5195 0.3051
Th1 Th 0.0000 0.0000 0.5000
# Spin magnetization in μB/f.u.: 0.00



List of relative energies, unit meV per atom: arrangement P 59; arrangement Q 0



Arrangement P

# PmY4Th2 PBE relaxed
data_PmY4Th2
_cell_length_a 5.604
_cell_length_b 5.604
_cell_length_c 16.705
_cell_angle_alpha 90.00
_cell_angle_beta 90.00
_cell_angle_gamma 90.00
_space_group_name_H-M_alt 'I 4/m m m'
_space_group_IT_number 139
_space_group_name_Hall '-I 4 2'
loop_
_atom_site_label
_atom_site_type_symbol
_atom_site_fract_x
_atom_site_fract_y
_atom_site_fract_z
Pm1 Pm 0.000 0.000 0.000
Y1 Y 0.000 0.000 0.181
Y2 Y 0.000 0.500 0.000
Th1 Th 0.000 0.000 0.387
# Spin magnetization in μB/f.u.: 0.00



Arrangement Q

# PmY4Th2 PBE relaxed
data_PmY4Th2
_cell_length_a 3.530
_cell_length_b 8.806
_cell_length_c 8.871
_cell_angle_alpha 119.40
_cell_angle_beta 90.09
_cell_angle_gamma 101.48
_space_group_name_H-M_alt 'P -1'
_space_group_IT_number 2
loop_
_space_group_symop_operation_xyz
'x,y,z'
'-x,-y,-z'
loop_
_atom_site_label
_atom_site_type_symbol
_atom_site_fract_x
_atom_site_fract_y
_atom_site_fract_z
Pm1 Pm 0.000 0.000 0.000
Y1 Y 0.296 0.588 0.706
Y2 Y 0.352 0.708 0.154
Th1 Th 0.067 0.136 0.435
# Spin magnetization in μB/f.u.: 0.00



List of relative energies, unit meV per atom: arrangement P 712; arrangement Q 0



Arrangement P

# Pm6Y3Th PBE relaxed
data_Pm6Y3Th
_cell_length_a 13.307
_cell_length_b 3.557
_cell_length_c 14.548
_cell_angle_alpha 90.00
_cell_angle_beta 100.47
_cell_angle_gamma 90.00
_space_group_name_H-M_alt 'P 1 21/m 1'
_space_group_IT_number 11
loop_
_space_group_symop_operation_xyz
'x,y,z'
'-x,-y,-z'
'-x,y+1/2,-z'
'x,-y+1/2,z'
loop_
_atom_site_label
_atom_site_type_symbol
_atom_site_fract_x
_atom_site_fract_y
_atom_site_fract_z
Pm1 Pm 0.001 0.250 0.191
Pm2 Pm 0.156 0.750 0.380
Pm3 Pm 0.230 0.250 0.799
Pm4 Pm 0.280 0.250 0.212
Pm5 Pm 0.311 0.250 0.581
Pm6 Pm 0.378 0.750 0.015
Y1 Y 0.078 0.750 0.596
Y2 Y 0.125 0.250 0.001
Y3 Y 0.426 0.750 0.399
Th1 Th 0.464 0.750 0.778
# Spin magnetization in μB/f.u.: 0.00



Arrangement Q

# Pm6Y3Th PBE relaxed
data_Pm6Y3Th
_cell_length_a 3.630
_cell_length_b 6.268
_cell_length_c 29.543
_cell_angle_alpha 93.99
_cell_angle_beta 90.02
_cell_angle_gamma 90.08
_space_group_name_H-M_alt 'P -1'
_space_group_IT_number 2
loop_
_space_group_symop_operation_xyz
'x,y,z'
'-x,-y,-z'
loop_
_atom_site_label
_atom_site_type_symbol
_atom_site_fract_x
_atom_site_fract_y
_atom_site_fract_z
Pm1 Pm 0.000 0.192 0.099
Pm2 Pm 0.002 0.628 0.401
Pm3 Pm 0.496 0.234 0.701
Pm4 Pm 0.497 0.599 0.800
Pm5 Pm 0.499 0.298 0.901
Pm6 Pm 0.499 0.862 0.599
Y1 Y 0.000 0.000 0.500
Y2 Y 0.000 0.500 0.000
Y3 Y 0.003 0.266 0.299
Y4 Y 0.004 0.900 0.200
Th1 Th 0.500 0.000 0.000
Th2 Th 0.500 0.500 0.500
# Spin magnetization in μB/f.u.: 0.00



List of relative energies, unit meV per atom: arrangement P 60; arrangement Q 0